Below is K2NaTl6In after structural relaxation, with properties calculated at the PBE level.

It has space group Fm-3m (No. 225), with a = 11.7088 Å, b = 11.7088 Å, c = 11.7088 Å, α = 90.00°, β = 90.00° and γ = 90.00°. Symmetry generates all atoms from K at (0.2500, 0.2500, 0.2500), Na at (0.0000, 0.0000, 0.0000), Tl at (0.0000, 0.0000, 0.2497) and In at (0.0000, 0.0000, 0.5000).

The calculated volume is 40.13 A^3/atom. The value obtained for the energy relative to the elements is 0.0980 eV per atom. The value obtained for the total magnetization is 0.00 μB per formula unit. The calculated total energy comes out at -77.881 eV per cell.